No. 1
A plane-wave DFT calculation with PBE was carried out for a relaxed FeReTe crystal.

Cell lengths 4.267, 4.267, 3.010 Å; angles 90.00, 90.00, 120.00 degrees
Fractional positions:
Fe 0.000 0.000 0.000
Re 0.667 0.333 0.500
Te 0.333 0.667 0.000

Calculated values
Formation energy (no corrections) in eV/atom: 0.80
Mass density in g cm⁻³: 12.9
Excess energy over the best structure of this formula in the dataset in eV per formula unit: 0.82
Symmetry: P-6m2, No. 187
N(E_F) in states/eV/atom: 0.83

=====

No. 2
A plane-wave DFT calculation with PBE was carried out for a relaxed FeReTe crystal.

Cell lengths 4.307, 4.307, 4.307 Å; angles 60.00, 60.00, 60.00 degrees
Fractional positions:
Fe 0.000 0.000 0.000
Re 0.250 0.250 0.250
Te 0.500 0.500 0.500

Calculated values
Formation energy (no corrections) in eV/atom: 0.53
Mass density in g cm⁻³: 10.9
Excess energy over the best structure of this formula in the dataset in eV per formula unit: 0.00
Symmetry: F-43m, No. 216
N(E_F) in states/eV/atom: 0.59

=====

No. 3
A plane-wave DFT calculation with PBE was carried out for a relaxed FeRe2Te2 crystal.

Cell lengths 6.245, 6.245, 6.245 Å; angles 138.09, 138.09, 60.77 degrees
Fractional positions:
Fe 0.000 0.000 0.000
Re 0.386 0.386 0.000
Re 0.614 0.614 0.000
Te 0.250 0.750 0.500
Te 0.750 0.250 0.500

Calculated values
Formation energy (no corrections) in eV/atom: 1.18
Mass density in g cm⁻³: 10.6
Excess energy over the best structure of this formula in the dataset in eV per formula unit: 1.88
Symmetry: I4/mmm, No. 139
N(E_F) in states/eV/atom: 1.37